# 1
Material: BaBi3Se
Method: DFT, SCAN
State: PBEsol geometry Values from VASP.

Quantum ESPRESSO input file:
```
&SYSTEM
  ibrav = 0, nat = 5, ntyp = 3
/
ATOMIC_SPECIES
Bi 208.98 Bi.upf
Se 78.96 Se.upf
Ba 137.33 Ba.upf
ATOMIC_POSITIONS angstrom
Bi 0.000 2.808 0.000
Bi 0.000 0.000 2.808
Bi 2.808 0.000 0.000
Se 0.000 0.000 0.000
Ba 2.808 2.808 2.808
CELL_PARAMETERS angstrom
5.617 0.000 0.000
0.000 5.617 0.000
0.000 0.000 5.617
```

**Final energy**: -59.158 eV/atom



# 2
Material: BaBi2Se
Method: DFT, SCAN
State: PBEsol geometry Values from VASP.

Quantum ESPRESSO input file:
```
&SYSTEM
  ibrav = 0, nat = 8, ntyp = 3
/
ATOMIC_SPECIES
Bi 208.98 Bi.upf
Se 78.96 Se.upf
Ba 137.33 Ba.upf
ATOMIC_POSITIONS angstrom
Bi 10.146 6.270 3.773
Bi 3.902 0.425 2.923
Bi 5.463 3.773 0.425
Bi 5.463 2.923 6.270
Se 3.122 0.000 0.000
Se 4.683 3.348 3.348
Ba 0.000 0.000 0.000
Ba 7.804 3.348 3.348
CELL_PARAMETERS angstrom
6.244 0.000 0.000
3.122 6.696 0.000
3.122 0.000 6.696
```

**Final energy**: -54.687 eV/atom



| no. | theoretical density (g/cm3) | magnetic moment (μB/cell) | calculated volume (Å³/f.u.) |
| --- | --- | --- | --- |
| 1 | 7.90 | 0.00 | 177 |
| 2 | 7.53 | 0.00 | 140 |